Entry 1:
VASP calculation (PBE) on Tl4Bi3Pb after structural relaxation.

Geometry as CIF:
```
data_Tl4Bi3Pb
_chemical_formula_sum 'Tl4 Bi3 Pb1'
_space_group_name_H-M_alt 'P m m 2'
_space_group_IT_number 25
_cell_length_a 3.4474
_cell_length_b 5.4215
_cell_length_c 13.8560
_cell_angle_alpha 90.00
_cell_angle_beta 90.00
_cell_angle_gamma 90.00
loop_
_space_group_symop_operation_xyz
'x,y,z'
'-x,-y,z'
'-x,y,z'
'x,-y,z'
loop_
_atom_site_label
_atom_site_fract_x
_atom_site_fract_y
_atom_site_fract_z
Tl1 0.0000 0.0000 0.0000
Tl2 0.0000 0.5000 0.3525
Tl3 0.5000 0.0000 0.4973
Tl4 0.5000 0.5000 0.8524
Bi1 0.0000 0.0000 0.7402
Bi2 0.0000 0.5000 0.6103
Bi3 0.5000 0.5000 0.1063
Pb1 0.5000 0.0000 0.2449
```

Polymorph energy (0 for the lowest one): 0.000 eV per atom
ΔE_f: -0.004 eV/atom
ρ: 10.6 Mg/m³


Entry 2:
VASP calculation (PBE) on Tl6BiPb after structural relaxation.

Geometry as CIF:
```
data_Tl6BiPb
_chemical_formula_sum 'Tl6 Bi1 Pb1'
_space_group_name_H-M_alt 'P 4/m m m'
_space_group_IT_number 123
_space_group_name_Hall '-P 4 2'
_cell_length_a 4.9821
_cell_length_b 4.9821
_cell_length_c 10.0475
_cell_angle_alpha 90.00
_cell_angle_beta 90.00
_cell_angle_gamma 90.00
loop_
_atom_site_label
_atom_site_fract_x
_atom_site_fract_y
_atom_site_fract_z
Tl1 0.0000 0.0000 0.0000
Tl2 0.0000 0.0000 0.5000
Tl3 0.0000 0.5000 0.2467
Bi1 0.5000 0.5000 0.0000
Pb1 0.5000 0.5000 0.5000
```

ΔE_f: -0.010 eV/atom
ρ: 10.9 Mg/m³


Entry 3:
VASP calculation (PBE) on Tl3Bi2Pb6 after structural relaxation.

Geometry as CIF:
```
data_Tl3Bi2Pb6
_chemical_formula_sum 'Tl12 Bi8 Pb24'
_space_group_name_H-M_alt 'I m -3 m'
_space_group_IT_number 229
_space_group_name_Hall '-I 4 2 3'
_cell_length_a 11.5633
_cell_length_b 11.5633
_cell_length_c 11.5633
_cell_angle_alpha 90.00
_cell_angle_beta 90.00
_cell_angle_gamma 90.00
loop_
_atom_site_label
_atom_site_fract_x
_atom_site_fract_y
_atom_site_fract_z
Tl1 0.0000 0.0000 0.2525
Bi1 0.2500 0.2500 0.2500
Pb1 0.0000 0.3540 0.3540
```

Polymorph energy (0 for the lowest one): 0.000 eV per atom
ΔE_f: 0.071 eV/atom
ρ: 9.8 Mg/m³


Entry 4:
VASP calculation (PBE) on TlBi5Pb6 after structural relaxation.

Geometry as CIF:
```
data_TlBi5Pb6
_chemical_formula_sum 'Tl2 Bi10 Pb12'
_space_group_name_H-M_alt 'C 1 2/m 1'
_space_group_IT_number 12
_cell_length_a 8.8921
_cell_length_b 12.8913
_cell_length_c 7.5004
_cell_angle_alpha 90.00
_cell_angle_beta 103.38
_cell_angle_gamma 90.00
loop_
_space_group_symop_operation_xyz
'x,y,z'
'-x,-y,-z'
'-x,y,-z'
'x,-y,z'
'x+1/2,y+1/2,z'
'-x+1/2,-y+1/2,-z'
'-x+1/2,y+1/2,-z'
'x+1/2,-y+1/2,z'
loop_
_atom_site_label
_atom_site_fract_x
_atom_site_fract_y
_atom_site_fract_z
Tl1 0.0000 0.0000 0.0000
Bi1 0.0000 0.1256 0.5000
Bi2 0.0000 0.2952 0.0000
Bi3 0.0000 0.5000 0.5000
Pb1 0.1867 0.5000 0.1826
Pb2 0.2154 0.3149 0.7053
```

Polymorph energy (0 for the lowest one): 0.026 eV per atom
ΔE_f: 0.073 eV/atom
ρ: 9.9 Mg/m³


Entry 5:
VASP calculation (PBE) on Tl8Bi5Pb after structural relaxation.

Geometry as CIF:
```
data_Tl8Bi5Pb
_chemical_formula_sum 'Tl16 Bi10 Pb2'
_space_group_name_H-M_alt 'I -4'
_space_group_IT_number 82
_cell_length_a 9.6665
_cell_length_b 9.6665
_cell_length_c 9.9763
_cell_angle_alpha 90.00
_cell_angle_beta 90.00
_cell_angle_gamma 90.00
loop_
_space_group_symop_operation_xyz
'x,y,z'
'y,-x,-z'
'-x,-y,z'
'-y,x,-z'
'x+1/2,y+1/2,z+1/2'
'y+1/2,-x+1/2,-z+1/2'
'-x+1/2,-y+1/2,z+1/2'
'-y+1/2,x+1/2,-z+1/2'
loop_
_atom_site_label
_atom_site_fract_x
_atom_site_fract_y
_atom_site_fract_z
Tl1 0.0563 0.3306 0.4146
Tl2 0.1088 0.1871 0.7451
Bi1 0.0000 0.0000 0.5000
Bi2 0.1012 0.1948 0.0740
Pb1 0.0000 0.5000 0.7500
```

ΔE_f: 0.080 eV/atom
ρ: 10.3 Mg/m³


Entry 6:
VASP calculation (PBE) on Tl4BiPb6 after structural relaxation.

Geometry as CIF:
```
data_Tl4BiPb6
_chemical_formula_sum 'Tl8 Bi2 Pb12'
_space_group_name_H-M_alt 'P 4/m n c'
_space_group_IT_number 128
_space_group_name_Hall '-P 4 2n'
_cell_length_a 8.4334
_cell_length_b 8.4334
_cell_length_c 10.0144
_cell_angle_alpha 90.00
_cell_angle_beta 90.00
_cell_angle_gamma 90.00
loop_
_atom_site_label
_atom_site_fract_x
_atom_site_fract_y
_atom_site_fract_z
Tl1 0.1474 0.3526 0.2500
Bi1 0.0000 0.0000 0.0000
Pb1 0.0000 0.0000 0.3356
Pb2 0.1320 0.6537 0.5000
```

ΔE_f: 0.057 eV/atom
ρ: 10.6 Mg/m³


Entry 7:
VASP calculation (PBE) on TlBi2Pb2 after structural relaxation.

Geometry as CIF:
```
data_TlBi2Pb2
_chemical_formula_sum 'Tl4 Bi8 Pb8'
_space_group_name_H-M_alt 'C 1 2/c 1'
_space_group_IT_number 15
_cell_length_a 10.0673
_cell_length_b 14.8014
_cell_length_c 5.4210
_cell_angle_alpha 90.00
_cell_angle_beta 122.34
_cell_angle_gamma 90.00
loop_
_space_group_symop_operation_xyz
'x,y,z'
'-x,-y,-z'
'-x,y,-z+1/2'
'x,-y,z+1/2'
'x+1/2,y+1/2,z'
'-x+1/2,-y+1/2,-z'
'-x+1/2,y+1/2,-z+1/2'
'x+1/2,-y+1/2,z+1/2'
loop_
_atom_site_label
_atom_site_fract_x
_atom_site_fract_y
_atom_site_fract_z
Tl1 0.0000 0.0894 0.2500
Bi1 0.0000 0.2244 0.7500
Bi2 0.0000 0.3535 0.2500
Pb1 0.2066 0.4219 0.9563
```

Polymorph energy (0 for the lowest one): 0.022 eV per atom
ΔE_f: 0.057 eV/atom
ρ: 10.1 Mg/m³


Entry 8:
VASP calculation (PBE) on Tl2BiPb4 after structural relaxation.

Geometry as CIF:
```
data_Tl2BiPb4
_chemical_formula_sum 'Tl4 Bi2 Pb8'
_space_group_name_H-M_alt 'C m m m'
_space_group_IT_number 65
_space_group_name_Hall '-C 2 2'
_cell_length_a 3.5042
_cell_length_b 36.9301
_cell_length_c 3.4695
_cell_angle_alpha 90.00
_cell_angle_beta 90.00
_cell_angle_gamma 90.00
loop_
_atom_site_label
_atom_site_fract_x
_atom_site_fract_y
_atom_site_fract_z
Tl1 0.0000 0.2086 0.0000
Bi1 0.0000 0.5000 0.5000
Pb1 0.0000 0.0712 0.0000
Pb2 0.0000 0.3605 0.5000
```

Polymorph energy (0 for the lowest one): 0.000 eV per atom
ΔE_f: 0.022 eV/atom
ρ: 10.7 Mg/m³


Entry 9:
VASP calculation (PBE) on Tl8BiPb5 after structural relaxation.

Geometry as CIF:
```
data_Tl8BiPb5
_chemical_formula_sum 'Tl16 Bi2 Pb10'
_space_group_name_H-M_alt 'I -4'
_space_group_IT_number 82
_cell_length_a 9.6026
_cell_length_b 9.6026
_cell_length_c 9.9714
_cell_angle_alpha 90.00
_cell_angle_beta 90.00
_cell_angle_gamma 90.00
loop_
_space_group_symop_operation_xyz
'x,y,z'
'y,-x,-z'
'-x,-y,z'
'-y,x,-z'
'x+1/2,y+1/2,z+1/2'
'y+1/2,-x+1/2,-z+1/2'
'-x+1/2,-y+1/2,z+1/2'
'-y+1/2,x+1/2,-z+1/2'
loop_
_atom_site_label
_atom_site_fract_x
_atom_site_fract_y
_atom_site_fract_z
Tl1 0.0569 0.1670 0.1680
Tl2 0.1146 0.3109 0.4979
Bi1 0.0000 0.5000 0.2500
Pb1 0.0000 0.0000 0.5000
Pb2 0.1024 0.3127 0.8361
```

ΔE_f: 0.086 eV/atom
ρ: 10.4 Mg/m³


Entry 10:
VASP calculation (PBE) on TlBi2Pb2 after structural relaxation.

Geometry as CIF:
```
data_TlBi2Pb2
_chemical_formula_sum 'Tl2 Bi4 Pb4'
_space_group_name_H-M_alt 'C 1 2/m 1'
_space_group_IT_number 12
_cell_length_a 9.5397
_cell_length_b 5.8471
_cell_length_c 6.2349
_cell_angle_alpha 90.00
_cell_angle_beta 110.82
_cell_angle_gamma 90.00
loop_
_space_group_symop_operation_xyz
'x,y,z'
'-x,-y,-z'
'-x,y,-z'
'x,-y,z'
'x+1/2,y+1/2,z'
'-x+1/2,-y+1/2,-z'
'-x+1/2,y+1/2,-z'
'x+1/2,-y+1/2,z'
loop_
_atom_site_label
_atom_site_fract_x
_atom_site_fract_y
_atom_site_fract_z
Tl1 0.0000 0.0000 0.0000
Bi1 0.2270 0.0000 0.6449
Pb1 0.1031 0.5000 0.7853
```

Polymorph energy (0 for the lowest one): 0.000 eV per atom
ΔE_f: 0.035 eV/atom
ρ: 10.6 Mg/m³


Entry 11:
VASP calculation (PBE) on Tl6Bi2Pb after structural relaxation.

Geometry as CIF:
```
data_Tl6Bi2Pb
_chemical_formula_sum 'Tl12 Bi4 Pb2'
_space_group_name_H-M_alt 'C 1 2/m 1'
_space_group_IT_number 12
_cell_length_a 19.4911
_cell_length_b 3.4531
_cell_length_c 9.8315
_cell_angle_alpha 90.00
_cell_angle_beta 117.63
_cell_angle_gamma 90.00
loop_
_space_group_symop_operation_xyz
'x,y,z'
'-x,-y,-z'
'-x,y,-z'
'x,-y,z'
'x+1/2,y+1/2,z'
'-x+1/2,-y+1/2,-z'
'-x+1/2,y+1/2,-z'
'x+1/2,-y+1/2,z'
loop_
_atom_site_label
_atom_site_fract_x
_atom_site_fract_y
_atom_site_fract_z
Tl1 0.0046 0.0000 0.3404
Tl2 0.1567 0.5000 0.9724
Tl3 0.1750 0.0000 0.3261
Bi1 0.1772 0.0000 0.6828
Pb1 0.0000 0.0000 0.0000
```

Polymorph energy (0 for the lowest one): 0.049 eV per atom
ΔE_f: 0.029 eV/atom
ρ: 10.5 Mg/m³


Entry 12:
VASP calculation (PBE) on Tl2Bi4Pb after structural relaxation.

Geometry as CIF:
```
data_Tl2Bi4Pb
_chemical_formula_sum 'Tl4 Bi8 Pb2'
_space_group_name_H-M_alt 'C 1 2 1'
_space_group_IT_number 5
_cell_length_a 9.3649
_cell_length_b 10.7315
_cell_length_c 6.6903
_cell_angle_alpha 90.00
_cell_angle_beta 134.08
_cell_angle_gamma 90.00
loop_
_space_group_symop_operation_xyz
'x,y,z'
'-x,y,-z'
'x+1/2,y+1/2,z'
'-x+1/2,y+1/2,-z'
loop_
_atom_site_label
_atom_site_fract_x
_atom_site_fract_y
_atom_site_fract_z
Tl1 0.0000 0.0000 0.0000
Tl2 0.0000 0.0049 0.5000
Bi1 0.2297 0.2681 0.4906
Bi2 0.2315 0.7380 0.9671
Pb1 0.0000 0.4978 0.0000
```

ΔE_f: 0.053 eV/atom
ρ: 10.0 Mg/m³